DFT (PBE) results for ZrMn2B after structural relaxation.

Calculated values
Calculated formation energy   99 meV/atom
SG   I-42d (122)

Cell: 6.626 6.626 4.833 Å, 90.00 90.00 90.00°
Fractional coordinates of all 16 atoms:
Zr 0.000 0.000 0.000
Zr 0.000 0.500 0.250
Zr 0.500 0.000 0.750
Zr 0.500 0.500 0.500
Mn 0.155 0.750 0.625
Mn 0.250 0.155 0.375
Mn 0.250 0.345 0.875
Mn 0.345 0.750 0.125
Mn 0.655 0.250 0.125
Mn 0.750 0.655 0.875
Mn 0.750 0.845 0.375
Mn 0.845 0.250 0.625
B 0.000 0.000 0.500
B 0.000 0.500 0.750
B 0.500 0.000 0.250
B 0.500 0.500 0.000


DFT (PBE) results for ZrMnB2 after structural relaxation.

Calculated values
Energy above the most stable polymorph in this dataset   0.207 eV/atom
Calculated formation energy   140 meV/atom
SG   Fm-3m (225)

Cell: 5.569 5.569 5.569 Å, 90.00 90.00 90.00°
Fractional coordinates of all 16 atoms:
Zr 0.000 0.000 0.000
Zr 0.000 0.500 0.500
Zr 0.500 0.000 0.500
Zr 0.500 0.500 0.000
Mn 0.000 0.000 0.500
Mn 0.000 0.500 0.000
Mn 0.500 0.000 0.000
Mn 0.500 0.500 0.500
B 0.250 0.250 0.250
B 0.250 0.250 0.750
B 0.250 0.750 0.250
B 0.250 0.750 0.750
B 0.750 0.250 0.250
B 0.750 0.250 0.750
B 0.750 0.750 0.250
B 0.750 0.750 0.750


DFT (PBE) results for ZrMn4B2 after structural relaxation.

Calculated values
Calculated formation energy   -340 meV/atom
SG   Cmmm (65)

Cell: 3.409 13.142 3.386 Å, 90.00 90.00 90.00°
Fractional coordinates of all 14 atoms:
Zr 0.000 0.000 0.000
Zr 0.500 0.500 0.000
Mn 0.000 0.176 0.500
Mn 0.000 0.322 0.000
Mn 0.000 0.678 0.000
Mn 0.000 0.824 0.500
Mn 0.500 0.178 0.000
Mn 0.500 0.324 0.500
Mn 0.500 0.676 0.500
Mn 0.500 0.822 0.000
B 0.000 0.430 0.500
B 0.000 0.570 0.500
B 0.500 0.070 0.500
B 0.500 0.930 0.500